[1]
# PBE-GGA Ba2PIrBr, relaxed
data_Ba2PIrBr
_chemical_formula_sum 'Ba2 P1 Ir1 Br1'
_symmetry_space_group_name_H-M 'P 4/m m m'
_symmetry_Int_Tables_number 123
_symmetry_space_group_name_Hall '-P 4 2'
_cell_length_a 6.205
_cell_length_b 6.205
_cell_length_c 4.444
_cell_angle_alpha 90.00
_cell_angle_beta 90.00
_cell_angle_gamma 90.00
loop_
_atom_site_label
_atom_site_fract_x
_atom_site_fract_y
_atom_site_fract_z
Ba1 0.000 0.500 0.000
P1 0.000 0.000 0.500
Ir1 0.000 0.000 0.000
Br1 0.500 0.500 0.500
# - Uncorrected formation energy: -1.044 eV per atom

[2]
# PBE-GGA TlMoP2, relaxed
data_TlMoP2
_chemical_formula_sum 'Tl1 Mo1 P2'
_symmetry_space_group_name_H-M 'P 4 m m'
_symmetry_Int_Tables_number 99
_cell_length_a 3.214
_cell_length_b 3.214
_cell_length_c 8.685
_cell_angle_alpha 90.00
_cell_angle_beta 90.00
_cell_angle_gamma 90.00
loop_
_symmetry_equiv_pos_as_xyz
'x,y,z'
'-y,x,z'
'-x,-y,z'
'y,-x,z'
'-x,y,z'
'y,x,z'
'x,-y,z'
'-y,-x,z'
loop_
_atom_site_label
_atom_site_fract_x
_atom_site_fract_y
_atom_site_fract_z
Tl1 0.000 0.000 0.000
Mo1 0.500 0.500 0.458
P1 0.000 0.000 0.350
P2 0.500 0.500 0.711
# - Offset from the most stable computed form: 20.4 kJ/mol of atoms
# - E_form: 122 meV per atom

Number 1: size of the total moment 0.00 μB/atom, DOS(E_F) 1.664 states/eV/f.u.. Number 2: size of the total moment 0.00 μB/atom, DOS(E_F) 1.999 states/eV/f.u..